{"formula": "TlGaHg", "functional": "PBE", "state": "relaxed", "lattice": [[-0.496, 5.770, -4.602], [-1.956, -4.740, -3.453], [-3.438, 1.071, 0.380]], "species": ["Tl", "Tl", "Hg", "Hg", "Ga", "Ga"], "frac_coords": [[0.534, 0.589, 0.768], [0.960, 0.930, 0.073], [0.154, 0.479, 0.466], [0.340, 0.040, 0.375], [0.831, 0.420, 0.127], [0.662, 0.099, 0.715]], "mass_density_g_cm3": 10.07, "spacegroup": "P-1, No. 2", "e_form_ev_per_atom": 0.042}